DFT (PBE) results for an optimized crystal structure of HfTeAsSe2.

Geometry as extended XYZ:
```
5
Lattice="5.1785 0.0000 0.0000 0.0000 5.1785 0.0000 0.0000 0.0000 5.2544" Properties=species:S:1:pos:R:3 pbc="T T T"
Se 2.5892 0.0000 0.0000
Se 0.0000 2.5892 0.0000
Hf 2.5892 2.5892 2.6272
Te 0.0000 0.0000 0.0000
As 0.0000 0.0000 2.6272
```

Energy relative to the elements, uncorrected (kJ per mole of atoms): 79
M_tot (μB/cell): 0.0
Excess energy over the best structure of this formula in the dataset (eV per atom): 0.8803